# SCAN BaNi2As2O8, PBEsol geometry
# Formation energy (no corrections) in kcal/mol of atoms: -41.37
# Size of the total moment in Bohr magnetons per cell: 11.73
# Electronic total energy in eV/cell: -556.4
data_BaNi2As2O8
_symmetry_space_group_name_H-M 'R -3'
_symmetry_Int_Tables_number 148
_symmetry_space_group_name_Hall '-R 3'
_cell_length_a 4.9382
_cell_length_b 4.9382
_cell_length_c 23.4866
_cell_angle_alpha 90.00
_cell_angle_beta 90.00
_cell_angle_gamma 120.00
loop_
_atom_site_label
_atom_site_fract_x
_atom_site_fract_y
_atom_site_fract_z
Ba1 0.0000 0.0000 0.0000
Ni1 0.0000 0.0000 0.1686
As1 0.0000 0.0000 0.4272
O1 0.0000 0.0000 0.3554
O2 0.0006 0.3251 0.1158

=====

# SCAN KMo2Ru, PBEsol geometry
# Size of the total moment in Bohr magnetons per cell: 0.01
# Distance to the lowest polymorph of the same formula in eV/atom: 0.0000
# Electronic total energy in eV/cell: -218.1
# Energy of formation from the pure elements in eV per formula unit: 3.85
data_KMo2Ru
_symmetry_space_group_name_H-M 'C 1 2/m 1'
_symmetry_Int_Tables_number 12
_cell_length_a 9.4331
_cell_length_b 3.0119
_cell_length_c 6.3394
_cell_angle_alpha 90.00
_cell_angle_beta 98.31
_cell_angle_gamma 90.00
loop_
_symmetry_equiv_pos_as_xyz
'x,y,z'
'-x,-y,-z'
'-x,y,-z'
'x,-y,z'
'x+1/2,y+1/2,z'
'-x+1/2,-y+1/2,-z'
'-x+1/2,y+1/2,-z'
'x+1/2,-y+1/2,z'
loop_
_atom_site_label
_atom_site_fract_x
_atom_site_fract_y
_atom_site_fract_z
K1 0.0000 0.0000 0.0000
Mo1 0.2138 0.0000 0.6268
Ru1 0.0000 0.5000 0.5000

=====

# SCAN Pr2Al7Cu, PBEsol geometry
# Size of the total moment in Bohr magnetons per cell: 0.02
# Electronic total energy in eV/cell: -160.6
# Energy of formation from the pure elements in eV per formula unit: -4.47
data_Pr2Al7Cu
_symmetry_space_group_name_H-M 'P 4 m m'
_symmetry_Int_Tables_number 99
_cell_length_a 4.2249
_cell_length_b 4.2249
_cell_length_c 10.9260
_cell_angle_alpha 90.00
_cell_angle_beta 90.00
_cell_angle_gamma 90.00
loop_
_symmetry_equiv_pos_as_xyz
'x,y,z'
'-y,x,z'
'-x,-y,z'
'y,-x,z'
'-x,y,z'
'y,x,z'
'x,-y,z'
'-y,-x,z'
loop_
_atom_site_label
_atom_site_fract_x
_atom_site_fract_y
_atom_site_fract_z
Pr1 0.0000 0.0000 0.0000
Pr2 0.5000 0.5000 0.4981
Al1 0.0000 0.0000 0.3836
Al2 0.0000 0.0000 0.6133
Al3 0.0000 0.5000 0.2363
Al4 0.0000 0.5000 0.7568
Al5 0.5000 0.5000 0.9061
Cu1 0.5000 0.5000 0.1221

=====

# SCAN ZnRh2Pb, PBEsol geometry
# Size of the total moment in Bohr magnetons per cell: 0.01
# Electronic total energy in eV/cell: -313.1
# Energy of formation from the pure elements in eV per formula unit: 0.31
data_ZnRh2Pb
_symmetry_space_group_name_H-M 'I -4 m 2'
_symmetry_Int_Tables_number 119
_symmetry_space_group_name_Hall 'I -4 -2'
_cell_length_a 3.8155
_cell_length_b 3.8155
_cell_length_c 8.6664
_cell_angle_alpha 90.00
_cell_angle_beta 90.00
_cell_angle_gamma 90.00
loop_
_atom_site_label
_atom_site_fract_x
_atom_site_fract_y
_atom_site_fract_z
Zn1 0.0000 0.0000 0.0000
Rh1 0.0000 0.0000 0.5000
Rh2 0.0000 0.5000 0.7500
Pb1 0.0000 0.5000 0.2500

=====

# SCAN Cu3Au2, PBEsol geometry
# Size of the total moment in Bohr magnetons per cell: 0.00
# Distance to the lowest polymorph of the same formula in eV/atom: 0.0000
# Electronic total energy in eV/cell: -368.3
# Energy of formation from the pure elements in eV per formula unit: -0.26
data_Cu3Au2
_symmetry_space_group_name_H-M 'I 4/m m m'
_symmetry_Int_Tables_number 139
_symmetry_space_group_name_Hall '-I 4 2'
_cell_length_a 2.7758
_cell_length_b 2.7758
_cell_length_c 17.6682
_cell_angle_alpha 90.00
_cell_angle_beta 90.00
_cell_angle_gamma 90.00
loop_
_atom_site_label
_atom_site_fract_x
_atom_site_fract_y
_atom_site_fract_z
Cu1 0.0000 0.0000 0.0000
Cu2 0.0000 0.0000 0.2072
Au1 0.0000 0.0000 0.3962

=====

# SCAN KScMo2, PBEsol geometry
# Size of the total moment in Bohr magnetons per cell: 0.00
# Distance to the lowest polymorph of the same formula in eV/atom: 0.0000
# Electronic total energy in eV/cell: -178.0
# Energy of formation from the pure elements in eV per formula unit: 3.33
data_KScMo2
_symmetry_space_group_name_H-M 'C m m m'
_symmetry_Int_Tables_number 65
_symmetry_space_group_name_Hall '-C 2 2'
_cell_length_a 3.3987
_cell_length_b 4.2893
_cell_length_c 10.7669
_cell_angle_alpha 90.00
_cell_angle_beta 90.00
_cell_angle_gamma 90.00
loop_
_atom_site_label
_atom_site_fract_x
_atom_site_fract_y
_atom_site_fract_z
K1 0.0000 0.0000 0.0000
Sc1 0.0000 0.0000 0.5000
Mo1 0.0000 0.5000 0.2848

=====

# SCAN CsZrAs2Br, PBEsol geometry
# Formation energy (no corrections) in kcal/mol of atoms: 31.05
# Size of the total moment in Bohr magnetons per cell: 0.89
# Electronic total energy in eV/cell: -121.6
data_CsZrAs2Br
_symmetry_space_group_name_H-M 'P 4/m m m'
_symmetry_Int_Tables_number 123
_symmetry_space_group_name_Hall '-P 4 2'
_cell_length_a 5.4040
_cell_length_b 5.4040
_cell_length_c 5.8538
_cell_angle_alpha 90.00
_cell_angle_beta 90.00
_cell_angle_gamma 90.00
loop_
_atom_site_label
_atom_site_fract_x
_atom_site_fract_y
_atom_site_fract_z
Cs1 0.0000 0.0000 0.0000
Zr1 0.5000 0.5000 0.5000
As1 0.0000 0.5000 0.0000
Br1 0.0000 0.0000 0.5000

=====

# SCAN TlBPb3, PBEsol geometry
# Size of the total moment in Bohr magnetons per cell: 0.00
# Electronic total energy in eV/cell: -304.0
# Energy of formation from the pure elements in eV per formula unit: 3.11
data_TlBPb3
_symmetry_space_group_name_H-M 'P m -3 m'
_symmetry_Int_Tables_number 221
_symmetry_space_group_name_Hall '-P 4 2 3'
_cell_length_a 5.0776
_cell_length_b 5.0776
_cell_length_c 5.0776
_cell_angle_alpha 90.00
_cell_angle_beta 90.00
_cell_angle_gamma 90.00
loop_
_atom_site_label
_atom_site_fract_x
_atom_site_fract_y
_atom_site_fract_z
Tl1 0.0000 0.0000 0.0000
B1 0.5000 0.5000 0.5000
Pb1 0.0000 0.5000 0.5000

=====

# SCAN Dy3GaO6, PBEsol geometry
# Formation energy (no corrections) in kcal/mol of atoms: -80.41
# Size of the total moment in Bohr magnetons per cell: 0.00
# Electronic total energy in eV/cell: -928.0
data_Dy3GaO6
_symmetry_space_group_name_H-M 'C m c 21'
_symmetry_Int_Tables_number 36
_cell_length_a 8.7933
_cell_length_b 11.0144
_cell_length_c 5.3698
_cell_angle_alpha 90.00
_cell_angle_beta 90.00
_cell_angle_gamma 90.00
loop_
_symmetry_equiv_pos_as_xyz
'x,y,z'
'-x,-y,z+1/2'
'-x,y,z'
'x,-y,z+1/2'
'x+1/2,y+1/2,z'
'-x+1/2,-y+1/2,z+1/2'
'-x+1/2,y+1/2,z'
'x+1/2,-y+1/2,z+1/2'
loop_
_atom_site_label
_atom_site_fract_x
_atom_site_fract_y
_atom_site_fract_z
Dy1 0.0000 0.1024 0.0000
Dy2 0.1926 0.3946 0.9515
Ga1 0.0000 0.3072 0.4209
O1 0.0000 0.2834 0.7592
O2 0.0000 0.4625 0.2760
O3 0.1590 0.2364 0.2409
O4 0.1601 0.0160 0.7248

=====

# SCAN Ba2AuCl, PBEsol geometry
# Formation energy (no corrections) in kcal/mol of atoms: -32.28
# Size of the total moment in Bohr magnetons per cell: 0.00
# Distance to the lowest polymorph of the same formula in eV/atom: 0.0973
# Electronic total energy in eV/cell: -161.8
data_Ba2AuCl
_symmetry_space_group_name_H-M 'P 1 2/m 1'
_symmetry_Int_Tables_number 10
_cell_length_a 4.0129
_cell_length_b 3.9699
_cell_length_c 8.6533
_cell_angle_alpha 90.00
_cell_angle_beta 93.00
_cell_angle_gamma 90.00
loop_
_symmetry_equiv_pos_as_xyz
'x,y,z'
'-x,-y,-z'
'-x,y,-z'
'x,-y,z'
loop_
_atom_site_label
_atom_site_fract_x
_atom_site_fract_y
_atom_site_fract_z
Ba1 0.0259 0.0000 0.2184
Au1 0.5000 0.5000 0.0000
Cl1 0.0000 0.5000 0.5000

=====

# SCAN BaSrMo2, PBEsol geometry
# Size of the total moment in Bohr magnetons per cell: 6.31
# Distance to the lowest polymorph of the same formula in eV/atom: 0.7918
# Electronic total energy in eV/cell: -125.3
# Energy of formation from the pure elements in eV per formula unit: 6.27
data_BaSrMo2
_symmetry_space_group_name_H-M 'P 4/m m m'
_symmetry_Int_Tables_number 123
_symmetry_space_group_name_Hall '-P 4 2'
_cell_length_a 3.7710
_cell_length_b 3.7710
_cell_length_c 7.6410
_cell_angle_alpha 90.00
_cell_angle_beta 90.00
_cell_angle_gamma 90.00
loop_
_atom_site_label
_atom_site_fract_x
_atom_site_fract_y
_atom_site_fract_z
Ba1 0.0000 0.0000 0.0000
Sr1 0.0000 0.0000 0.5000
Mo1 0.5000 0.5000 0.2686

=====

# SCAN SrCoTe2, PBEsol geometry
# Formation energy (no corrections) in kcal/mol of atoms: -6.28
# Size of the total moment in Bohr magnetons per cell: 2.37
# Electronic total energy in eV/cell: -115.2
data_SrCoTe2
_symmetry_space_group_name_H-M 'P 4/m m m'
_symmetry_Int_Tables_number 123
_symmetry_space_group_name_Hall '-P 4 2'
_cell_length_a 5.0855
_cell_length_b 5.0855
_cell_length_c 3.8273
_cell_angle_alpha 90.00
_cell_angle_beta 90.00
_cell_angle_gamma 90.00
loop_
_atom_site_label
_atom_site_fract_x
_atom_site_fract_y
_atom_site_fract_z
Sr1 0.0000 0.0000 0.0000
Co1 0.5000 0.5000 0.0000
Te1 0.0000 0.5000 0.5000